No. 1
Entry from the Alexandria database: an optimized crystal structure of SiSnPd2 (PBE).

abc: 6.4563 6.4563 6.4563
angles: 90.00 90.00 90.00
Last column: nearest neighbours and their distance in Å.
Space group Fm-3m (No. 225)
Symmetry-distinct sites (fractional):
Si (0.0000, 0.0000, 0.0000) [4 per cell]  8 Pd 2.80
Sn (0.0000, 0.0000, 0.5000) [4 per cell]  8 Pd 2.80
Pd (0.2500, 0.2500, 0.2500) [8 per cell]  4 Si 2.80, 4 Sn 2.80

Values from the calculation:
Raw total energy = -0.38137 Ry/atom

=====

No. 2
Entry from the Alexandria database: an optimized crystal structure of SiSn2Pd8 (PBE).

abc: 14.9572 4.4934 5.7808
angles: 90.00 111.71 90.00
Last column: nearest neighbours and their distance in Å.
Space group C2/m (No. 12)
Symmetry-distinct sites (fractional):
Si (0.0000, 0.0000, 0.0000) [2 per cell]  4 Pd 2.35-2.36
Sn (0.1793, 0.5000, 0.6848) [4 per cell]  11 Pd 2.74-3.02
Pd (0.0063, 0.5000, 0.7641) [4 per cell]  2 Si 2.65, 1 Sn 2.79, 5 Pd 2.80-2.93
Pd (0.1215, 0.0000, 0.3982) [4 per cell]  1 Si 2.35
Pd (0.1410, 0.0000, 0.9073) [4 per cell]  1 Si 2.36
Pd (0.1902, 0.5000, 0.2175) [4 per cell]  4 Sn 2.77-3.02, 8 Pd 2.80-3.02

Values from the calculation:
Raw total energy = -0.40459 Ry/atom

=====

No. 3
Entry from the Alexandria database: an optimized crystal structure of SiSn6Pd12 (PBE).

abc: 10.5738 10.5738 10.7326
angles: 90.00 90.00 120.00
Last column: nearest neighbours and their distance in Å.
Space group R-3 (No. 148, hexagonal axes)
Symmetry-distinct sites (fractional):
Si (0.0000, 0.0000, 0.0000) [3 per cell]  6 Pd 2.42
Sn (0.0096, 0.4012, 0.2869) [18 per cell]  7 Pd 2.66-2.92
Pd (0.0409, 0.1853, 0.3951) [18 per cell]  4 Sn 2.68-2.82, 3 Pd 2.77-2.87
Pd (0.0905, 0.1810, 0.8353) [18 per cell]  1 Si 2.42, 1 Sn 2.66

Values from the calculation:
Raw total energy = -0.38512 Ry/atom

=====

| no. | magnetization (μB/atom) |
| --- | --- |
| 1 | 0.00 |
| 2 | 0.00 |
| 3 | 0.00 |